DFT (PBE with a Hubbard U) results for AcBeV2O8 after structural relaxation.

space-group type	P-3m1
final energy	-7.343	eV per atom

Cell lengths 5.4029, 5.4029, 6.6092 Å; angles 90.00, 90.00, 120.00 degrees
Closest atoms and distances in Å follow each position.
Atoms (fractional coordinates):
Ac (0.0000, 0.0000, 0.0000)  6 O 2.63
Be (0.0000, 0.0000, 0.5000)  6 O 1.82
V (0.3333, 0.6667, 0.7395)  4 O 1.71-1.74
V (0.6667, 0.3333, 0.2605)  4 O 1.71-1.74
O (0.1542, 0.3083, 0.6678)  1 V 1.74, 1 Be 1.82
O (0.1542, 0.8458, 0.6678)  1 V 1.74, 1 Be 1.82
O (0.3083, 0.1542, 0.3322)  1 V 1.74, 1 Be 1.82
O (0.3333, 0.6667, 0.9988)  1 V 1.71
O (0.6667, 0.3333, 0.0012)  1 V 1.71
O (0.6917, 0.8458, 0.6678)  1 V 1.74, 1 Be 1.82
O (0.8458, 0.1542, 0.3322)  1 V 1.74, 1 Be 1.82
O (0.8458, 0.6917, 0.3322)  1 V 1.74, 1 Be 1.82